[1]
This record from Alexandria via LeMat-Bulk describes crystalline NaInSe3 at its relaxed geometry. The functional is PBE.

Structure (POSCAR):
```
NaInSe3
1.0
5.361 0.000 0.000
0.000 5.361 0.000
0.000 0.000 5.361
Se Na In
3 1 1
Cartesian
0.000 2.681 0.000 Se
2.681 0.000 0.000 Se
0.000 0.000 2.681 Se
0.000 0.000 0.000 Na
2.681 2.681 2.681 In
```

**Total magnetic moment**: 3.9 μB per formula unit
**Energy above the lowest structure with this stoichiometry**: 491 meV per atom

---

[2]
This record from Alexandria via LeMat-Bulk describes crystalline Na3In2Se4 at its relaxed geometry. The functional is PBE.

Structure (POSCAR):
```
Na3In2Se4
1.0
-4.754 -4.315 -5.080
6.419 -1.449 -4.981
3.363 -7.058 2.643
Se In Na
8 4 6
Cartesian
0.418 -5.371 -8.194 Se
3.210 -8.434 -3.676 Se
-1.144 -7.621 -4.822 Se
0.718 -7.027 -0.471 Se
4.610 -7.452 0.776 Se
4.310 -5.796 -6.948 Se
1.818 -4.389 -3.743 Se
6.172 -5.202 -2.596 Se
2.013 -10.373 -5.195 In
-0.130 -6.015 -2.848 In
5.158 -6.807 -4.570 In
3.014 -2.449 -2.223 In
1.649 -6.896 -5.787 Na
-3.605 -5.841 -4.172 Na
5.516 -10.497 -3.941 Na
8.633 -6.981 -3.246 Na
-0.488 -2.326 -3.477 Na
3.379 -5.926 -1.632 Na
```

**Total magnetic moment**: 0.0 μB per formula unit
**Energy above the lowest structure with this stoichiometry**: 0 meV per atom

---

[3]
This record from Alexandria via LeMat-Bulk describes crystalline NaInSe at its relaxed geometry. The functional is PBE.

Structure (POSCAR):
```
NaInSe
1.0
3.984 -0.118 -1.231
-0.265 3.977 -1.231
-0.901 -0.935 11.313
Se Na In
2 2 2
Cartesian
-0.466 -0.484 9.147 Se
3.284 3.407 -0.295 Se
1.328 1.378 0.632 Na
1.490 1.546 8.220 Na
0.297 0.308 4.470 In
2.522 2.616 4.382 In
```

**Total magnetic moment**: 0.0 μB per formula unit
**Energy above the lowest structure with this stoichiometry**: 0 meV per atom

---

[4]
This record from Alexandria via LeMat-Bulk describes crystalline NaIn6Se8 at its relaxed geometry. The functional is PBE.

Structure (POSCAR):
```
NaIn6Se8
1.0
7.934 -0.223 -0.230
-0.470 7.923 -0.230
-0.470 -0.485 7.912
Se In Na
8 6 1
Cartesian
5.362 5.532 5.713 Se
5.292 2.924 1.025 Se
6.229 1.896 4.496 Se
1.701 4.292 6.426 Se
1.632 1.684 1.739 Se
0.765 5.319 2.955 Se
2.757 0.851 5.411 Se
4.237 6.364 2.040 Se
0.894 2.618 4.237 In
6.100 4.597 3.215 In
2.589 4.203 1.111 In
4.405 3.012 6.341 In
2.873 6.193 4.698 In
4.120 1.023 2.753 In
0.000 0.000 0.000 Na
```

**Total magnetic moment**: 0.0 μB per formula unit

---

[5]
This record from Alexandria via LeMat-Bulk describes crystalline NaIn2Se4 at its relaxed geometry. The functional is PBE.

Structure (POSCAR):
```
NaIn2Se4
1.0
4.030 0.000 0.000
-2.015 6.995 0.000
0.000 0.000 12.573
In Se Na
4 8 2
Cartesian
0.000 1.954 5.423 In
2.015 5.041 11.710 In
0.000 1.954 0.863 In
2.015 5.041 7.150 In
2.015 0.000 6.287 Se
0.000 3.221 7.839 Se
2.015 3.774 4.735 Se
2.015 0.000 0.000 Se
0.000 3.221 11.021 Se
2.015 6.403 9.430 Se
2.015 3.774 1.552 Se
0.000 0.593 3.143 Se
2.015 1.472 9.430 Na
0.000 5.523 3.143 Na
```

**Total magnetic moment**: 0.0 μB per formula unit

---

[6]
This record from Alexandria via LeMat-Bulk describes crystalline Na3In2Se4 at its relaxed geometry. The functional is PBE.

Structure (POSCAR):
```
Na3In2Se4
1.0
-1.708 3.348 -2.708
-5.130 -5.312 0.631
3.050 7.583 7.452
Se Na In
4 3 2
Cartesian
0.049 2.053 2.507 Se
-2.831 1.126 -0.785 Se
-0.957 4.494 6.160 Se
-3.838 3.567 2.869 Se
-3.669 -1.102 0.951 Na
-0.120 6.722 4.424 Na
0.000 0.000 0.000 Na
-2.005 2.903 0.891 In
-1.784 2.717 4.485 In
```

**Total magnetic moment**: 0.0 μB per formula unit
**Energy above the lowest structure with this stoichiometry**: 29 meV per atom

---

[7]
This record from Alexandria via LeMat-Bulk describes crystalline Na3InSe3 at its relaxed geometry. The functional is PBE.

Structure (POSCAR):
```
Na3InSe3
1.0
7.797 0.095 0.077
-3.389 7.023 0.077
-0.578 -0.934 7.276
Se In Na
6 2 6
Cartesian
3.072 0.935 2.059 Se
0.758 5.249 5.371 Se
4.362 3.018 5.371 Se
3.812 6.155 1.774 Se
0.018 0.029 5.656 Se
-0.532 3.166 2.059 Se
0.782 1.262 0.999 In
3.048 4.921 6.431 In
2.419 3.906 2.651 Na
-1.722 5.345 3.715 Na
5.552 0.839 3.715 Na
1.411 2.278 4.779 Na
-0.668 5.338 0.077 Na
5.077 1.780 0.077 Na
```

**Total magnetic moment**: 0.0 μB per formula unit
**Energy above the lowest structure with this stoichiometry**: 17 meV per atom

---

[8]
This record from Alexandria via LeMat-Bulk describes crystalline NaInSe3 at its relaxed geometry. The functional is PBE.

Structure (POSCAR):
```
NaInSe3
1.0
5.346 0.000 0.000
0.000 5.346 0.000
0.000 0.000 5.346
Se In Na
3 1 1
Cartesian
0.000 2.673 0.000 Se
0.000 0.000 2.673 Se
2.673 0.000 0.000 Se
0.000 0.000 0.000 In
2.673 2.673 2.673 Na
```

**Total magnetic moment**: 0.0 μB per formula unit
**Energy above the lowest structure with this stoichiometry**: 0 meV per atom

---

Number 1: total energy -12.63 eV/cell, volume 154.09 Å³ per cell, raw formation energy 0.376 eV per atom. Number 2: total energy -60.95 eV/cell, volume 536.27 Å³ per cell, raw formation energy -0.789 eV per atom. Number 3: total energy -18.98 eV/cell, volume 169.47 Å³ per cell, raw formation energy -0.650 eV per atom. Number 4: total energy -51.75 eV/cell, volume 494.67 Å³ per cell, raw formation energy -0.409 eV per atom. Number 5: total energy -48.61 eV/cell, volume 354.46 Å³ per cell, raw formation energy -0.510 eV per atom. Number 6: total energy -30.21 eV/cell, volume 271.72 Å³ per cell, raw formation energy -0.760 eV per atom. Number 7: total energy -46.84 eV/cell, volume 401.87 Å³ per cell, raw formation energy -0.896 eV per atom. Number 8: total energy -15.09 eV/cell, volume 152.79 Å³ per cell, raw formation energy -0.115 eV per atom.